[1]
{
  "formula": "KPtBr2",
  "functional": "PBE",
  "state": "optimized geometry",
  "lattice": [[4.6962, 0.0000, 0.0000], [0.0000, 3.9526, 0.0000], [-1.9318, 0.0000, 6.5475]],
  "species": ["K", "Pt", "Br", "Br"],
  "frac_coords": [[0.0000, 0.0000, 0.0000], [0.5000, 0.0000, 0.5000], [0.4174, 0.5000, 0.7222], [0.5826, 0.5000, 0.2778]],
  "density_g_cm3": 5.4,
  "e_form_raw_ev_per_atom": -0.5531,
  "de_polymorph_mev_per_atom": 99,
  "total_energy_ev_per_cell": -12.70
}

---

[2]
{
  "formula": "KRb2PtBr",
  "functional": "PBE",
  "state": "optimized geometry",
  "lattice": [[6.3311, 0.0000, 0.0000], [0.0000, 6.3311, 0.0000], [0.0000, 0.0000, 6.0585]],
  "species": ["K", "Rb", "Rb", "Pt", "Br"],
  "frac_coords": [[0.0000, 0.0000, 0.0000], [0.0000, 0.5000, 0.5000], [0.5000, 0.0000, 0.5000], [0.0000, 0.0000, 0.5000], [0.5000, 0.5000, 0.0000]],
  "density_g_cm3": 3.3,
  "e_form_raw_ev_per_atom": -0.5509,
  "total_energy_ev_per_cell": -13.50
}

---

[3]
{
  "formula": "K2RbPtBr",
  "functional": "PBE",
  "state": "optimized geometry",
  "lattice": [[6.0635, 0.0000, 0.0000], [0.0000, 6.0635, 0.0000], [0.0000, 0.0000, 6.3178]],
  "species": ["K", "K", "Rb", "Pt", "Br"],
  "frac_coords": [[0.0000, 0.5000, 0.0000], [0.5000, 0.0000, 0.0000], [0.0000, 0.0000, 0.5000], [0.0000, 0.0000, 0.0000], [0.5000, 0.5000, 0.5000]],
  "density_g_cm3": 3.1,
  "e_form_raw_ev_per_atom": -0.5525,
  "total_energy_ev_per_cell": -13.64
}

---

[4]
{
  "formula": "KPtRhBr6",
  "functional": "PBE",
  "state": "optimized geometry",
  "lattice": [[6.5858, 0.0000, 0.0000], [-2.5452, 6.0957, 0.0000], [-0.4928, -0.6469, 7.2877]],
  "species": ["K", "Pt", "Rh", "Br", "Br", "Br", "Br", "Br", "Br"],
  "frac_coords": [[0.0000, 0.0000, 0.0000], [0.7099, 0.2914, 0.5011], [0.3697, 0.6329, 0.5017], [0.0704, 0.3388, 0.6562], [0.0867, 0.6456, 0.2654], [0.3612, 0.9115, 0.7406], [0.4126, 0.3300, 0.2987], [0.6614, 0.9334, 0.3464], [0.6749, 0.5867, 0.7033]],
  "density_g_cm3": 4.6,
  "e_form_raw_ev_per_atom": -0.5450,
  "total_energy_ev_per_cell": -29.43
}

---

[5]
{
  "formula": "KPtRh2Br",
  "functional": "PBE",
  "state": "optimized geometry",
  "lattice": [[5.0166, 0.0000, 0.0000], [0.0000, 5.0166, 0.0000], [0.0000, 0.0000, 5.1273]],
  "species": ["K", "Pt", "Rh", "Rh", "Br"],
  "frac_coords": [[0.0000, 0.0000, 0.0000], [0.0000, 0.0000, 0.5000], [0.0000, 0.5000, 0.0000], [0.5000, 0.0000, 0.0000], [0.5000, 0.5000, 0.5000]],
  "density_g_cm3": 6.7,
  "e_form_raw_ev_per_atom": 2.1400,
  "total_energy_ev_per_cell": -12.81
}

---

[6]
{
  "formula": "KPtSe2Br",
  "functional": "PBE",
  "state": "optimized geometry",
  "lattice": [[5.8764, 0.0000, 0.0000], [0.0000, 5.8764, 0.0000], [0.0000, 0.0000, 5.7200]],
  "species": ["K", "Pt", "Se", "Se", "Br"],
  "frac_coords": [[0.0000, 0.0000, 0.0000], [0.5000, 0.5000, 0.5000], [0.0000, 0.5000, 0.0000], [0.5000, 0.0000, 0.0000], [0.0000, 0.0000, 0.5000]],
  "density_g_cm3": 4.0,
  "e_form_raw_ev_per_atom": 1.2758,
  "de_polymorph_mev_per_atom": 1618,
  "total_energy_ev_per_cell": -9.40
}